A geometry-optimized LaMgBe2 structure, computed with GGA-PBE.

Unit cell a=5.002 b=5.002 c=5.002 alpha=132.21 beta=118.30 gamma=81.61
Positions (direct):
Mg (0.787, 0.287, 0.500)
Be (0.169, 0.669, 0.500)
Be (0.068, 0.068, 0.000)
La (0.476, 0.476, 0.000)

- VASP energy (eV/cell) = -12.80